No. 1
DFT (PBE-GGA) results for an optimized crystal structure of LuTl2Bi.

Values from the calculation:
Total DFT energy (no corrections): -13.92 eV/cell
DFT formation energy: -0.1956 eV per atom
Magnetic moment: 0.0000 μB per atom
ΔE to the lowest computed polymorph: 0 meV per atom

Structure (POSCAR):
```
LuTl2Bi
1.0
-2.7737 1.7868 3.5765
0.1517 -4.2553 2.2436
3.9516 1.3904 2.3700
Tl Lu Bi
2 1 1
direct
0.0000 0.0000 0.5000
0.0000 0.5000 0.0000
0.5000 0.0000 0.0000
0.5000 0.5000 0.5000
```

***

No. 2
DFT (PBE-GGA) results for an optimized crystal structure of LuTlBi.

Values from the calculation:
Total DFT energy (no corrections): -11.13 eV/cell
DFT formation energy: -0.1215 eV per atom
Magnetic moment: 0.0000 μB per atom
ΔE to the lowest computed polymorph: 70 meV per atom

Structure (POSCAR):
```
LuTlBi
1.0
3.7108 0.0000 0.0000
0.0000 5.2404 0.0000
0.0000 -2.6202 4.5383
Tl Lu Bi
1 1 1
direct
0.0226 0.0000 0.0000
0.3043 0.3333 0.6667
0.6731 0.6667 0.3333
```

***

No. 3
DFT (PBE-GGA) results for an optimized crystal structure of LuTl2Bi.

Values from the calculation:
Total DFT energy (no corrections): -12.66 eV/cell
DFT formation energy: 0.1183 eV per atom
Magnetic moment: 0.0000 μB per atom
ΔE to the lowest computed polymorph: 314 meV per atom

Structure (POSCAR):
```
LuTl2Bi
1.0
-0.3244 -3.3980 -0.7809
2.8307 -2.0602 -0.0618
-0.7459 -4.3408 11.3480
Tl Lu Bi
2 1 1
direct
0.0869 0.0869 0.7394
0.9131 0.9131 0.2606
0.0000 0.0000 0.0000
0.5000 0.5000 0.5000
```

***

No. 4
DFT (PBE-GGA) results for an optimized crystal structure of Lu2TlBi.

Values from the calculation:
Total DFT energy (no corrections): -16.73 eV/cell
DFT formation energy: -0.3605 eV per atom
Magnetic moment: 0.0026 μB per atom
ΔE to the lowest computed polymorph: 15 meV per atom

Structure (POSCAR):
```
Lu2TlBi
1.0
3.9723 0.0000 0.0000
0.0000 3.9723 0.0000
0.0000 0.0000 6.9251
Tl Lu Bi
1 2 1
direct
0.5000 0.5000 0.0000
0.0000 0.0000 0.7472
0.0000 0.0000 0.2528
0.5000 0.5000 0.5000
```

***

No. 5
DFT (PBE-GGA) results for an optimized crystal structure of LuTlBi.

Values from the calculation:
Total DFT energy (no corrections): -11.34 eV/cell
DFT formation energy: -0.1911 eV per atom
Magnetic moment: 0.0000 μB per atom
ΔE to the lowest computed polymorph: 0 meV per atom

Structure (POSCAR):
```
LuTlBi
1.0
-2.9975 1.1733 2.1277
-2.4188 -1.1192 -2.7903
2.3595 -5.3053 2.7507
Tl Lu Bi
1 1 1
direct
0.6261 0.6261 0.2522
0.2851 0.2851 0.5703
0.9388 0.9388 0.8775
```

***

No. 6
DFT (PBE-GGA) results for an optimized crystal structure of Lu2TlBi.

Values from the calculation:
Total DFT energy (no corrections): -16.79 eV/cell
DFT formation energy: -0.3755 eV per atom
Magnetic moment: 0.0000 μB per atom
ΔE to the lowest computed polymorph: 0 meV per atom

Structure (POSCAR):
```
Lu2TlBi
1.0
-0.9572 -3.9346 -0.8442
2.9767 -2.8688 -0.1379
-0.3464 -3.7028 7.5168
Tl Lu Bi
1 2 1
direct
0.0000 0.0000 0.0000
0.2459 0.2459 0.2624
0.7541 0.7541 0.7376
0.5000 0.5000 0.5000
```

***

No. 7
DFT (PBE-GGA) results for an optimized crystal structure of Lu2TlBi.

Values from the calculation:
Total DFT energy (no corrections): -16.51 eV/cell
DFT formation energy: -0.3056 eV per atom
Magnetic moment: 0.0001 μB per atom
ΔE to the lowest computed polymorph: 70 meV per atom

Structure (POSCAR):
```
Lu2TlBi
1.0
-4.8824 2.0514 0.9056
-2.6428 -1.2448 4.5091
-0.6873 3.7121 3.8228
Tl Lu Bi
1 2 1
direct
0.5000 0.5000 0.5000
0.2500 0.2500 0.2500
0.7500 0.7500 0.7500
0.0000 0.0000 0.0000
```

***

No. 8
DFT (PBE-GGA) results for an optimized crystal structure of TmLuTlBi.

Values from the calculation:
Total DFT energy (no corrections): -16.54 eV/cell
DFT formation energy: -0.3259 eV per atom
Magnetic moment: 0.0002 μB per atom

Structure (POSCAR):
```
TmLuTlBi
1.0
-3.9444 -3.2577 1.6783
1.1920 -4.4920 2.7181
-1.1478 -0.3555 5.2482
Tl Lu Tm Bi
1 1 1 1
direct
0.5000 0.5000 0.5000
0.7500 0.7500 0.7500
0.2500 0.2500 0.2500
0.0000 0.0000 0.0000
```

***

No. 9
DFT (PBE-GGA) results for an optimized crystal structure of TmLu2Bi.

Values from the calculation:
Total DFT energy (no corrections): -18.08 eV/cell
DFT formation energy: -0.1710 eV per atom
Magnetic moment: 0.0003 μB per atom
ΔE to the lowest computed polymorph: 125 meV per atom

Structure (POSCAR):
```
TmLu2Bi
1.0
-1.6018 1.3327 2.8837
1.0010 -1.0659 3.2434
7.0051 7.9624 2.4061
Lu Tm Bi
2 1 1
direct
0.2522 0.2522 0.2435
0.7478 0.7478 0.7565
0.5000 0.5000 0.5000
0.0000 0.0000 0.0000
```

***

No. 10
DFT (PBE-GGA) results for an optimized crystal structure of TmLu2Bi.

Values from the calculation:
Total DFT energy (no corrections): -18.58 eV/cell
DFT formation energy: -0.2960 eV per atom
Magnetic moment: 0.0001 μB per atom
ΔE to the lowest computed polymorph: 0 meV per atom

Structure (POSCAR):
```
TmLu2Bi
1.0
-1.9240 0.8878 3.4312
-3.1301 -2.2571 -1.1711
2.8904 -5.6011 3.0701
Lu Tm Bi
2 1 1
direct
0.0000 0.0000 0.7593
0.0000 0.0000 0.2407
0.5000 0.5000 0.5000
0.5000 0.5000 0.0000
```

***

No. 11
DFT (PBE-GGA) results for an optimized crystal structure of TmLu2Bi.

Values from the calculation:
Total DFT energy (no corrections): -18.43 eV/cell
DFT formation energy: -0.2598 eV per atom
Magnetic moment: 0.2922 μB per atom
ΔE to the lowest computed polymorph: 36 meV per atom

Structure (POSCAR):
```
TmLu2Bi
1.0
4.8233 0.0000 0.0000
0.0000 4.8027 0.0000
0.0000 0.0000 4.8027
Lu Tm Bi
2 1 1
direct
0.0000 0.0000 0.5000
0.0000 0.5000 0.0000
0.5000 0.0000 0.0000
0.5000 0.5000 0.5000
```

***

No. 12
DFT (PBE-GGA) results for an optimized crystal structure of YLuBi.

Values from the calculation:
Total DFT energy (no corrections): -15.62 eV/cell
DFT formation energy: -0.2526 eV per atom
Magnetic moment: 0.0003 μB per atom

Structure (POSCAR):
```
YLuBi
1.0
3.8043 0.0000 0.0000
0.0000 5.2318 0.0000
0.0000 -2.6159 4.5308
Y Lu Bi
1 1 1
direct
0.6110 0.6667 0.3333
0.0799 0.0000 0.0000
0.3091 0.3333 0.6667
```

***

Which value of total DFT energy (no corrections) does entry 7 give? -16.51 eV/cell

***

Copy entry 4 word for word.
DFT (PBE-GGA) results for an optimized crystal structure of Lu2TlBi.

Values from the calculation:
Total DFT energy (no corrections): -16.73 eV/cell
DFT formation energy: -0.3605 eV per atom
Magnetic moment: 0.0026 μB per atom
ΔE to the lowest computed polymorph: 15 meV per atom

Structure (POSCAR):
```
Lu2TlBi
1.0
3.9723 0.0000 0.0000
0.0000 3.9723 0.0000
0.0000 0.0000 6.9251
Tl Lu Bi
1 2 1
direct
0.5000 0.5000 0.0000
0.0000 0.0000 0.7472
0.0000 0.0000 0.2528
0.5000 0.5000 0.5000
```